# PBE Mn2CuNi, optimized geometry
# ΔH_f (0 K) in kcal/mol of atoms: 2.0
data_Mn2CuNi
_cell_length_a 2.817
_cell_length_b 2.817
_cell_length_c 6.477
_cell_angle_alpha 90.00
_cell_angle_beta 90.00
_cell_angle_gamma 90.00
_symmetry_space_group_name_H-M 'P 4/m m m'
_symmetry_Int_Tables_number 123
_symmetry_space_group_name_Hall '-P 4 2'
loop_
_atom_site_label
_atom_site_type_symbol
_atom_site_fract_x
_atom_site_fract_y
_atom_site_fract_z
Mn1 Mn 0.000 0.000 0.242
Cu1 Cu 0.500 0.500 0.500
Ni1 Ni 0.500 0.500 0.000